# 1
Entry from the Alexandria database: HfPaPN after structural relaxation (PBE).

raw formation energy: -124.94 kJ per mole of atoms

a = 3.9860 Å, b = 3.9860 Å, c = 8.7519 Å
α = 90.00°, β = 90.00°, γ = 90.00°
Positions (direct):
P (0.5000, 0.0000, 0.7039)
P (0.0000, 0.5000, 0.2961)
N (0.0000, 0.0000, 0.0000)
N (0.5000, 0.5000, 0.0000)
Pa (0.5000, 0.0000, 0.1328)
Pa (0.0000, 0.5000, 0.8672)
Hf (0.0000, 0.0000, 0.5000)
Hf (0.5000, 0.5000, 0.5000)

***

# 2
Entry from the Alexandria database: SrMoPt after structural relaxation (PBE).

formation energy from the elements: 0.48 eV/f.u.

a = 5.5552 Å, b = 4.5439 Å, c = 11.0074 Å
α = 90.00°, β = 90.00°, γ = 90.00°
Positions (direct):
Mo (0.0925, 0.2500, 0.8245)
Mo (0.5925, 0.2500, 0.6755)
Mo (0.4075, 0.7500, 0.3245)
Mo (0.9075, 0.7500, 0.1755)
Pt (0.9105, 0.2500, 0.0585)
Pt (0.4105, 0.2500, 0.4415)
Pt (0.5895, 0.7500, 0.5585)
Pt (0.0895, 0.7500, 0.9415)
Sr (0.9051, 0.2500, 0.3728)
Sr (0.4051, 0.2500, 0.1272)
Sr (0.0949, 0.7500, 0.6272)
Sr (0.5949, 0.7500, 0.8728)

***

# 3
Entry from the Alexandria database: TaTi6Pb after structural relaxation (PBE).

formation energy from the elements: 0.41 eV/f.u.

a = 4.7514 Å, b = 5.8529 Å, c = 5.8529 Å
α = 117.00°, β = 90.00°, γ = 90.00°
Positions (direct):
Ti (0.0000, 0.6061, 0.3939)
Ti (0.5000, 0.9010, 0.0990)
Ti (0.0000, 0.0849, 0.3926)
Ti (0.5000, 0.9100, 0.6056)
Ti (0.5000, 0.3944, 0.0900)
Ti (0.0000, 0.6074, 0.9151)
Pb (0.5000, 0.4083, 0.5917)
Ta (0.0000, 0.0876, 0.9124)

***

# 4
Entry from the Alexandria database: AlCr2As after structural relaxation (PBE).

formation energy from the elements: 0.55 eV/f.u.

a = 4.5562 Å, b = 4.5562 Å, c = 4.5562 Å
α = 128.84°, β = 128.84°, γ = 75.28°
Positions (direct):
Al (0.2500, 0.7500, 0.5000)
Cr (0.5000, 0.5000, 0.0000)
Cr (0.0000, 0.0000, 0.0000)
As (0.7500, 0.2500, 0.5000)

***

# 5
Entry from the Alexandria database: NbGaSe2Br after structural relaxation (PBE).

raw formation energy: -30.99 kJ per mole of atoms

a = 5.0773 Å, b = 5.0773 Å, c = 5.2927 Å
α = 90.00°, β = 90.00°, γ = 90.00°
Positions (direct):
Nb (0.0000, 0.0000, 0.0000)
Br (0.0000, 0.0000, 0.5000)
Ga (0.5000, 0.5000, 0.5000)
Se (0.5000, 0.0000, 0.0000)
Se (0.0000, 0.5000, 0.0000)

***

# 6
Entry from the Alexandria database: Pu2Th2NiGe4 after structural relaxation (PBE).

formation energy from the elements: -3.52 eV/f.u.

a = 6.4496 Å, b = 6.4496 Å, c = 6.4496 Å
α = 99.94°, β = 114.44°, γ = 114.44°
Positions (direct):
Ge (0.0000, 0.7635, 0.2365)
Ge (0.4730, 0.2365, 0.2365)
Ge (0.5270, 0.7635, 0.7635)
Ge (0.0000, 0.2365, 0.7635)
Pu (0.0000, 0.6778, 0.6778)
Pu (0.0000, 0.3222, 0.3222)
Th (0.5000, 0.7500, 0.2500)
Th (0.5000, 0.2500, 0.7500)
Ni (0.0000, 0.0000, 0.0000)

***

The evaluated total energy for the records listed, in turn: -9.591, -6.026, -7.815, -6.773, -4.669, -7.919 eV/atom.